VASP calculation (GGA+U) on a relaxed structure of NpTiNi2O6.

**Total energy**: -0.27696 hartree per atom

Cell lengths 5.8352, 5.8352, 4.0978 Å; angles 90.00, 90.00, 90.00 degrees
Space group P4mm (No. 99)
Symmetry-distinct sites (fractional):
Np1 0.0000 0.0000 0.0000 [1 per cell]
Ti1 0.5000 0.5000 0.9284 [1 per cell]
Ni1 0.0000 0.5000 0.0335 [2 per cell]
O1 0.0000 0.0000 0.5035 [1 per cell]
O2 0.2554 0.2554 0.0106 [4 per cell]
O3 0.5000 0.5000 0.5161 [1 per cell]